BeP2Cl: relaxed, PBEsol.

Unit cell a=2.7172 b=4.5861 c=4.5861 alpha=90.00 beta=90.00 gamma=90.00
Fractional coordinates of all 4 atoms:
P  0.0000  0.0000  0.5000
P  0.0000  0.5000  0.0000
Cl  0.5000  0.0000  0.0000
Be  0.5000  0.5000  0.5000

Properties
* E_form (uncorrected): 3.03 eV per formula unit
* symmetry: No. 123
* calculated total energy: -14.6 eV for the cell shown